# Zn2CrCu

A relaxed structure of Zn2CrCu (PBE, the Alexandria database).

Computed properties:
Its calculated density is 7.6 g cm⁻³. Its energy of formation from the pure elements is 179 meV/atom.

extended XYZ file:
```
4
Lattice="2.5763 0.0000 0.0000 0.0000 4.1865 0.0000 -0.8093 0.0000 4.9656" Properties=species:S:1:pos:R:3 pbc="T T T"
Zn 0.0000 0.0000 0.0000
Zn -0.2082 2.0932 1.4224
Cr 1.1553 0.0000 2.4810
Cu 0.2213 2.0932 3.8939
```

=====

# CdHRh3

A relaxed structure of CdHRh3 (PBE, the Alexandria database).

Computed properties:
Its calculated density is 10.9 g cm⁻³. The value obtained for the energy above the most stable polymorph in this dataset is 36 meV per atom.

extended XYZ file:
```
10
Lattice="4.9065 0.0000 0.0000 -0.8242 4.8386 0.0000 -0.1120 -1.5980 5.4318" Properties=species:S:1:pos:R:3 pbc="T T T"
Cd 0.0000 0.0000 0.0000
Cd 0.7640 1.0962 4.7620
H 1.4310 0.2645 2.6675
H 2.3529 2.9299 2.3662
Rh -0.8677 4.0035 2.7055
Rh 0.7646 1.8829 2.0353
Rh 2.4727 -0.3489 1.3571
Rh 2.4402 -1.0800 4.0361
Rh 3.2541 2.1772 0.7020
Rh 3.2580 1.4133 3.3202
```

=====

# Ca3MgSn12

A relaxed structure of Ca3MgSn12 (PBE, the Alexandria database).

Computed properties:
Its calculated density is 6.1 g cm⁻³. Its energy of formation from the pure elements is -281 meV/atom.

extended XYZ file:
```
16
Lattice="4.7383 0.0000 0.0000 0.0000 4.7383 0.0000 0.0000 0.0000 19.1093" Properties=species:S:1:pos:R:3 pbc="T T T"
Ca 0.0000 0.0000 0.0000
Ca 0.0000 0.0000 4.7585
Ca 0.0000 0.0000 14.3508
Mg 0.0000 0.0000 9.5546
Sn 0.0000 2.3692 2.4036
Sn 0.0000 2.3692 7.2465
Sn 0.0000 2.3692 11.8628
Sn 0.0000 2.3692 16.7056
Sn 2.3692 0.0000 2.4036
Sn 2.3692 0.0000 7.2465
Sn 2.3692 0.0000 11.8628
Sn 2.3692 0.0000 16.7056
Sn 2.3692 2.3692 0.0000
Sn 2.3692 2.3692 4.8361
Sn 2.3692 2.3692 9.5546
Sn 2.3692 2.3692 14.2731
```

=====

# CaCe2YHg4

A relaxed structure of CaCe2YHg4 (PBE, the Alexandria database).

Computed properties:
Its calculated density is 9.2 g cm⁻³. Its energy of formation from the pure elements is -416 meV/atom.

extended XYZ file:
```
8
Lattice="2.6880 1.5519 8.7714 -2.6880 1.5519 8.7714 0.0000 -3.1039 8.7714" Properties=species:S:1:pos:R:3 pbc="T T T"
Ca 0.0000 0.0000 0.0000
Ce 0.0000 0.0000 6.5984
Ce 0.0000 0.0000 19.7157
Y 0.0000 0.0000 13.1571
Hg 0.0000 0.0000 3.3184
Hg 0.0000 0.0000 9.9045
Hg 0.0000 0.0000 16.4096
Hg 0.0000 0.0000 22.9957
```

=====

# Ti2ZnNi3

A relaxed structure of Ti2ZnNi3 (PBE, the Alexandria database).

Computed properties:
Its calculated density is 7.1 g cm⁻³. Its energy of formation from the pure elements is -352 meV/atom. The value obtained for the energy above the most stable polymorph in this dataset is 33 meV per atom.

extended XYZ file:
```
6
Lattice="2.9967 0.0000 0.0000 0.0000 2.9967 0.0000 0.0000 0.0000 8.7917" Properties=species:S:1:pos:R:3 pbc="T T T"
Ti 0.0000 0.0000 1.5356
Ti 0.0000 0.0000 7.2561
Zn 0.0000 0.0000 4.3959
Ni 1.4984 1.4984 0.0000
Ni 1.4984 1.4984 2.9577
Ni 1.4984 1.4984 5.8340
```

=====

# YBeRe2

A relaxed structure of YBeRe2 (PBE, the Alexandria database).

Computed properties:
Its calculated density is 11.7 g cm⁻³. Its energy of formation from the pure elements is 222 meV/atom.

extended XYZ file:
```
4
Lattice="3.2034 0.0000 0.0000 0.0000 3.2034 0.0000 0.0000 0.0000 6.4850" Properties=species:S:1:pos:R:3 pbc="T T T"
Y 0.0000 0.0000 0.0000
Be 0.0000 0.0000 3.2425
Re 1.6017 1.6017 2.0867
Re 1.6017 1.6017 4.3983
```